[1]
VASP calculation (PBEsol) on an optimized crystal structure of TlVCl3. Values from VASP.

Quantum ESPRESSO input file:
```
&SYSTEM
  ibrav = 0, nat = 10, ntyp = 3
/
ATOMIC_SPECIES
Tl 204.38 Tl.upf
V 50.94 V.upf
Cl 35.45 Cl.upf
ATOMIC_POSITIONS angstrom
Tl 0.0000 3.9366 1.4242
Tl 3.4092 1.9683 4.2726
V 0.0000 0.0000 0.0000
V 0.0000 0.0000 2.8484
Cl 0.0000 1.9391 4.2726
Cl -1.7299 4.9354 4.2726
Cl 1.6793 0.9695 1.4242
Cl 1.7299 4.9354 4.2726
Cl 5.1392 0.9695 1.4242
Cl 3.4092 3.9659 1.4242
CELL_PARAMETERS angstrom
6.8185 0.0000 0.0000
-3.4092 5.9050 0.0000
0.0000 0.0000 5.6968
```

The value obtained for the energy relative to the elements, uncorrected is -1.04 eV per atom.

---

[2]
VASP calculation (PBEsol) on an optimized crystal structure of Tl2WCl6. Values from VASP.

Quantum ESPRESSO input file:
```
&SYSTEM
  ibrav = 0, nat = 9, ntyp = 3
/
ATOMIC_SPECIES
Tl 204.38 Tl.upf
W 183.84 W.upf
Cl 35.45 Cl.upf
ATOMIC_POSITIONS angstrom
Tl 2.4201 2.4201 2.4201
Tl 7.2602 7.2602 7.2602
W 0.0000 0.0000 0.0000
Cl 4.8401 4.8401 2.3585
Cl 4.8401 2.3585 4.8401
Cl 7.3217 4.8401 4.8401
Cl 2.3585 4.8401 4.8401
Cl 4.8401 7.3217 4.8401
Cl 4.8401 4.8401 7.3217
CELL_PARAMETERS angstrom
0.0000 4.8401 4.8401
4.8401 0.0000 4.8401
4.8401 4.8401 0.0000
```

The value obtained for the energy relative to the elements, uncorrected is -0.89 eV per atom.

---

[3]
VASP calculation (PBEsol) on an optimized crystal structure of Tl3ZnCl. Values from VASP.

Quantum ESPRESSO input file:
```
&SYSTEM
  ibrav = 0, nat = 5, ntyp = 3
/
ATOMIC_SPECIES
Tl 204.38 Tl.upf
Zn 65.41 Zn.upf
Cl 35.45 Cl.upf
ATOMIC_POSITIONS angstrom
Tl 0.0000 0.0000 2.8393
Tl 0.0000 2.8393 0.0000
Tl 2.8393 0.0000 0.0000
Zn 2.8393 2.8393 2.8393
Cl 0.0000 0.0000 0.0000
CELL_PARAMETERS angstrom
5.6787 0.0000 0.0000
0.0000 5.6787 0.0000
0.0000 0.0000 5.6787
```

The value obtained for the energy relative to the elements, uncorrected is 0.21 eV per atom.

---

[4]
VASP calculation (PBEsol) on an optimized crystal structure of TlZnCl3. Values from VASP.

Quantum ESPRESSO input file:
```
&SYSTEM
  ibrav = 0, nat = 10, ntyp = 3
/
ATOMIC_SPECIES
Tl 204.38 Tl.upf
Zn 65.41 Zn.upf
Cl 35.45 Cl.upf
ATOMIC_POSITIONS angstrom
Tl 0.0000 0.0000 0.0000
Tl 3.3594 2.9936 3.7462
Zn 3.3706 5.7214 6.7906
Zn 6.4643 5.7184 4.5593
Cl 2.1669 3.7038 0.9370
Cl 2.4860 6.3911 4.7612
Cl 3.3282 3.4939 6.8834
Cl 5.5187 6.6848 2.8124
Cl 5.5800 6.3907 6.5896
Cl 6.4188 3.4913 4.4650
CELL_PARAMETERS angstrom
6.1851 0.0000 0.0000
0.6217 6.2233 0.0000
0.2632 2.9801 7.6049
```

The value obtained for the energy relative to the elements, uncorrected is -1.05 eV per atom.

---

[5]
VASP calculation (PBEsol) on an optimized crystal structure of TlZnCl2. Values from VASP.

Quantum ESPRESSO input file:
```
&SYSTEM
  ibrav = 0, nat = 4, ntyp = 3
/
ATOMIC_SPECIES
Tl 204.38 Tl.upf
Zn 65.41 Zn.upf
Cl 35.45 Cl.upf
ATOMIC_POSITIONS angstrom
Tl 0.0000 0.0000 0.0000
Zn 0.0000 0.0000 13.9446
Cl 0.0000 0.0000 11.7822
Cl 0.0000 0.0000 16.1071
CELL_PARAMETERS angstrom
1.8060 1.0427 9.2964
-1.8060 1.0427 9.2964
0.0000 -2.0854 9.2964
```

The value obtained for the energy relative to the elements, uncorrected is -0.43 eV per atom.

---

[6]
VASP calculation (PBEsol) on an optimized crystal structure of Zr2TlCl. Values from VASP.

Quantum ESPRESSO input file:
```
&SYSTEM
  ibrav = 0, nat = 4, ntyp = 3
/
ATOMIC_SPECIES
Zr 91.22 Zr.upf
Tl 204.38 Tl.upf
Cl 35.45 Cl.upf
ATOMIC_POSITIONS angstrom
Zr 0.0000 0.0000 1.6860
Zr 0.0000 0.0000 5.8934
Tl 1.5887 1.5887 3.7897
Cl 1.5887 1.5887 0.0000
CELL_PARAMETERS angstrom
3.1774 0.0000 0.0000
0.0000 3.1774 0.0000
0.0000 0.0000 7.5794
```

The value obtained for the energy relative to the elements, uncorrected is -0.41 eV per atom.